Here is a relaxed NaUFeN3 crystal from Alexandria via LeMat-Bulk. Energies are from GGA-PBE.

Cell: 3.4228 6.9524 8.0969 Å, 101.86 90.00 90.00°
Fractional coordinates of all 12 atoms:
Na  0.7500  0.8324  0.8297
Na  0.2500  0.1676  0.1703
U  0.2500  0.6645  0.1601
U  0.7500  0.3355  0.8399
Fe  0.2500  0.0505  0.6048
Fe  0.7500  0.9495  0.3952
N  0.2500  0.8446  0.4240
N  0.7500  0.8605  0.1547
N  0.7500  0.4539  0.1224
N  0.7500  0.1554  0.5760
N  0.2500  0.5461  0.8776
N  0.2500  0.1395  0.8453

## Properties
Volume: 15.71 Å³/atom
Fermi-level density of states: 2.92 states/eV per cell
E: -8.361 eV/atom
Uncorrected formation energy: -0.6871 eV/atom

---

Here is a relaxed KZnAg2F8 crystal from Alexandria via LeMat-Bulk. Energies are from GGA-PBE.

Cell: 5.8533 5.8533 6.6141 Å, 116.26 116.26 90.00°
Fractional coordinates of all 12 atoms:
K  0.7500  0.2500  0.5000
Zn  0.0000  0.0000  0.0000
Ag  0.5000  0.5000  0.0000
Ag  0.2500  0.7500  0.5000
F  0.7386  0.8115  0.0222
F  0.2836  0.2107  0.0222
F  0.5748  0.6670  0.5088
F  0.9340  0.8418  0.5088
F  0.1582  0.4252  0.4912
F  0.3330  0.0660  0.4912
F  0.1885  0.7164  0.9778
F  0.7893  0.2614  0.9778

## Properties
Volume: 14.73 Å³/atom
Fermi-level density of states: 2.44 states/eV per cell
E: -3.542 eV/atom
Uncorrected formation energy: -1.6214 eV/atom

---

Here is a relaxed La6NdDy2Er crystal from Alexandria via LeMat-Bulk. Energies are from GGA-PBE.

Cell: 9.3242 6.9516 6.7090 Å, 121.20 104.85 90.00°
Fractional coordinates of all 10 atoms:
La  0.4263  0.6332  0.2664
La  0.1874  0.0309  0.6059
La  0.8126  0.4250  0.3941
La  0.1874  0.5750  0.6059
La  0.8126  0.9691  0.3941
La  0.5737  0.3668  0.7336
Nd  0.5000  0.0000  0.0000
Dy  0.1725  0.0708  0.1415
Dy  0.8275  0.9292  0.8585
Er  0.0000  0.5000  0.0000

## Properties
ΔE_f: 0.193 eV per atom
Volume: 35.49 Å³/atom
Fermi-level density of states: 19.87 states/eV per cell
E: -4.617 eV/atom

---

Here is a relaxed Ho3Ag3Rh2 crystal from Alexandria via LeMat-Bulk. Energies are from GGA-PBE.

Cell: 3.6599 7.3064 7.3064 Å, 120.00 90.00 90.00°
Fractional coordinates of all 8 atoms:
Ho  0.5000  0.4143  0.4143
Ho  0.5000  0.5857  0.0000
Ho  0.5000  0.0000  0.5857
Ag  0.0000  0.7733  0.7733
Ag  0.0000  0.2267  0.0000
Ag  0.0000  0.0000  0.2267
Rh  0.0000  0.3333  0.6667
Rh  0.0000  0.6667  0.3333

## Properties
ΔE_f: -0.575 eV per atom
Volume: 21.15 Å³/atom
Fermi-level density of states: 4.19 states/eV per cell
E: -5.199 eV/atom

---

Here is a relaxed BeTeN2F crystal from Alexandria via LeMat-Bulk. Energies are from GGA-PBE.

Cell: 3.8189 3.8189 3.3442 Å, 90.00 90.00 90.00°
Fractional coordinates of all 5 atoms:
Be  0.0000  0.0000  0.0000
N  0.0000  0.5000  0.0000
N  0.5000  0.0000  0.0000
Te  0.5000  0.5000  0.5000
F  0.0000  0.0000  0.5000

## Properties
Offset from the most stable computed form: 0 meV per atom
Volume: 9.75 Å³/atom
Fermi-level density of states: 2.42 states/eV per cell
E: -4.883 eV/atom
Uncorrected formation energy: 0.1946 eV/atom

---

Here is a relaxed KInOs2 crystal from Alexandria via LeMat-Bulk. Energies are from GGA-PBE.

Cell: 2.8078 3.7936 8.5194 Å, 90.00 90.00 90.00°
Fractional coordinates of all 4 atoms:
In  0.0000  0.0000  0.4344
K  0.5000  0.5000  0.7741
Os  0.0000  0.0000  0.0871
Os  0.5000  0.5000  0.2044

## Properties
ΔE_f: 0.498 eV per atom
Volume: 22.69 Å³/atom
Fermi-level density of states: 1.68 states/eV per cell
E: -6.076 eV/atom

---

Here is a relaxed La12Pr2Dy5 crystal from Alexandria via LeMat-Bulk. Energies are from GGA-PBE.

Cell: 11.8766 10.9286 6.3181 Å, 100.13 90.00 122.91°
Fractional coordinates of all 19 atoms:
La  0.1170  0.2340  0.0055
La  0.0641  0.6065  0.8003
La  0.5424  0.6065  0.8003
La  0.1428  0.7870  0.3805
La  0.6442  0.7870  0.3805
La  0.4436  0.8872  0.7289
La  0.5564  0.1128  0.2711
La  0.8572  0.2130  0.6195
La  0.3558  0.2130  0.6195
La  0.9359  0.3935  0.1997
La  0.4576  0.3935  0.1997
La  0.8830  0.7660  0.9945
Pr  0.7670  0.0000  0.0000
Pr  0.2330  0.0000  0.0000
Dy  0.2151  0.4303  0.5566
Dy  0.3179  0.6357  0.1425
Dy  0.0000  0.0000  0.5000
Dy  0.6821  0.3643  0.8575
Dy  0.7849  0.5697  0.4434

## Properties
Offset from the most stable computed form: 0 meV per atom
ΔE_f: 0.086 eV per atom
Volume: 35.43 Å³/atom
Fermi-level density of states: 26.59 states/eV per cell
E: -4.740 eV/atom

---

Here is a relaxed Ba2MgMoCl crystal from Alexandria via LeMat-Bulk. Energies are from GGA-PBE.

Cell: 5.8441 5.1954 5.8441 Å, 90.00 90.00 90.00°
Fractional coordinates of all 5 atoms:
Mg  0.0000  0.5000  0.0000
Mo  0.0000  0.0000  0.0000
Ba  0.0000  0.0000  0.5000
Ba  0.5000  0.0000  0.0000
Cl  0.5000  0.5000  0.5000

## Properties
Volume: 35.49 Å³/atom
Fermi-level density of states: 4.34 states/eV per cell
E: -3.477 eV/atom
Uncorrected formation energy: 0.1468 eV/atom

---

Here is a relaxed Tc2AsSeF crystal from Alexandria via LeMat-Bulk. Energies are from GGA-PBE.

Cell: 4.2317 4.6797 4.2317 Å, 90.00 90.00 90.00°
Site moments in Bohr magnetons follow the coordinates.
Fractional coordinates of all 5 atoms:
As  0.0000  0.5000  0.0000  -0.05
Tc  0.0000  0.0000  0.5000  1.60
Tc  0.5000  0.0000  0.0000  1.40
Se  0.5000  0.5000  0.5000  -0.01
F  0.0000  0.0000  0.0000  -0.01

## Properties
Volume: 16.76 Å³/atom
Fermi-level density of states: 4.55 states/eV per cell
E: -5.250 eV/atom
Uncorrected formation energy: 0.8970 eV/atom

---

Here is a relaxed MgBeTe2 crystal from Alexandria via LeMat-Bulk. Energies are from GGA-PBE.

Cell: 3.8659 8.6878 3.7988 Å, 90.00 90.00 90.00°
Fractional coordinates of all 4 atoms:
Be  0.5000  0.0000  0.5000
Mg  0.0000  0.5000  0.5000
Te  0.0000  0.0000  0.0000
Te  0.5000  0.5000  0.0000

## Properties
Offset from the most stable computed form: 640 meV per atom
Volume: 31.90 Å³/atom
Fermi-level density of states: 1.88 states/eV per cell
E: -2.835 eV/atom
Uncorrected formation energy: 0.0658 eV/atom

---

Here is a relaxed ErPuPdPt crystal from Alexandria via LeMat-Bulk. Energies are from GGA-PBE.

Cell: 3.7593 4.4333 5.6680 Å, 90.00 109.37 90.00°
Site moments in Bohr magnetons follow the coordinates.
Fractional coordinates of all 4 atoms:
Er  0.1383  0.0000  0.2765  -0.11
Pu  0.8603  0.5000  0.7207  -5.21
Pd  0.4125  0.0000  0.8250  0.03
Pt  0.5889  0.5000  0.1778  0.02

## Properties
Offset from the most stable computed form: 0 meV per atom
ΔE_f: -0.859 eV per atom
Volume: 22.28 Å³/atom
Fermi-level density of states: 13.16 states/eV per cell
E: -8.391 eV/atom

---

Here is a relaxed YH2Rh crystal from Alexandria via LeMat-Bulk. Energies are from GGA-PBE.

Cell: 3.9042 3.9042 4.5589 Å, 64.65 64.65 60.00°
Fractional coordinates of all 4 atoms:
Y  0.5000  0.5000  0.5000
H  0.1406  0.1406  0.5783
H  0.8594  0.8594  0.4217
Rh  0.0000  0.0000  0.0000

## Properties
Offset from the most stable computed form: 44 meV per atom
Volume: 13.08 Å³/atom
Fermi-level density of states: 0.90 states/eV per cell
E: -5.644 eV/atom

---

Here is a relaxed Pm4DyGa4 crystal from Alexandria via LeMat-Bulk. Energies are from GGA-PBE.

Cell: 4.7755 10.2634 10.2634 Å, 90.00 90.00 90.00°
Fractional coordinates of all 18 atoms:
Pm  0.5001  0.3670  0.8541
Pm  0.0001  0.6459  0.8670
Pm  0.5001  0.6330  0.1459
Pm  0.9999  0.1330  0.6459
Pm  0.4999  0.8541  0.6330
Pm  0.9999  0.8670  0.3541
Pm  0.0001  0.3541  0.1330
Pm  0.4999  0.1459  0.3670
Dy  0.0000  0.0000  0.0000
Dy  0.5000  0.5000  0.5000
Ga  0.5000  0.9299  0.1683
Ga  0.5000  0.0701  0.8317
Ga  0.0000  0.6683  0.5701
Ga  0.0000  0.4299  0.6683
Ga  0.0000  0.5701  0.3317
Ga  0.5000  0.1683  0.0701
Ga  0.5000  0.8317  0.9299
Ga  0.0000  0.3317  0.4299

## Properties
ΔE_f: -0.396 eV per atom
Volume: 27.95 Å³/atom
Fermi-level density of states: 16.72 states/eV per cell
E: -4.364 eV/atom

---

Here is a relaxed PmMgCo2 crystal from Alexandria via LeMat-Bulk. Energies are from GGA-PBE.

Cell: 3.3944 3.3944 6.2525 Å, 90.00 90.00 90.00°
Site moments in Bohr magnetons follow the coordinates.
Fractional coordinates of all 4 atoms:
Mg  0.5000  0.5000  0.5000  -0.02
Co  0.0000  0.0000  0.6909  1.36
Co  0.0000  0.0000  0.3091  1.36
Pm  0.5000  0.5000  0.0000  -0.18

## Properties
ΔE_f: 0.156 eV per atom
Volume: 18.01 Å³/atom
Fermi-level density of states: 5.65 states/eV per cell
E: -4.983 eV/atom

---

Here is a relaxed CaHfNi3 crystal from Alexandria via LeMat-Bulk. Energies are from GGA-PBE.

Cell: 4.6923 4.6923 4.6923 Å, 90.00 90.00 90.00°
Fractional coordinates of all 5 atoms:
Ni  0.0000  0.5000  0.0000
Ni  0.0000  0.0000  0.5000
Ni  0.5000  0.0000  0.0000
Ca  0.5000  0.5000  0.5000
Hf  0.0000  0.0000  0.0000

## Properties
Offset from the most stable computed form: 0 meV per atom
ΔE_f: 0.462 eV per atom
Volume: 20.66 Å³/atom
Fermi-level density of states: 3.88 states/eV per cell
E: -5.398 eV/atom

---

Here is a relaxed Li3SbPd3 crystal from Alexandria via LeMat-Bulk. Energies are from GGA-PBE.

Cell: 4.6457 7.3484 7.3484 Å, 120.00 90.00 90.00°
Fractional coordinates of all 14 atoms:
Li  0.7500  0.6383  0.5420
Li  0.7500  0.4580  0.0963
Li  0.7500  0.9037  0.3617
Li  0.2500  0.3617  0.4580
Li  0.2500  0.5420  0.9037
Li  0.2500  0.0963  0.6383
Sb  0.2500  0.6667  0.3333
Sb  0.7500  0.3333  0.6667
Pd  0.2500  0.8143  0.7515
Pd  0.2500  0.2485  0.0628
Pd  0.2500  0.9372  0.1857
Pd  0.7500  0.1857  0.2485
Pd  0.7500  0.7515  0.9372
Pd  0.7500  0.0628  0.8143

## Properties
Offset from the most stable computed form: 31 meV per atom
Volume: 15.52 Å³/atom
Fermi-level density of states: 9.28 states/eV per cell
E: -4.114 eV/atom
Uncorrected formation energy: -0.4791 eV/atom

---

Here is a relaxed Mn3GaC crystal from Alexandria via LeMat-Bulk. Energies are from GGA-PBE.

Cell: 3.8143 3.8143 3.8143 Å, 90.00 90.00 90.00°
Site moments in Bohr magnetons follow the coordinates.
Fractional coordinates of all 5 atoms:
C  0.0000  0.0000  0.0000  -0.11
Mn  0.0000  0.5000  0.0000  1.43
Mn  0.0000  0.0000  0.5000  1.43
Mn  0.5000  0.0000  0.0000  1.43
Ga  0.5000  0.5000  0.5000  -0.10

## Properties
Offset from the most stable computed form: 0 meV per atom
ΔE_f: -0.106 eV per atom
Volume: 11.10 Å³/atom
Fermi-level density of states: 4.12 states/eV per cell
E: -8.058 eV/atom

---

Here is a relaxed ReSi2Br2 crystal from Alexandria via LeMat-Bulk. Energies are from GGA-PBE.

Cell: 3.5452 3.5452 10.1953 Å, 79.99 79.99 90.00°
Fractional coordinates of all 5 atoms:
Re  0.0000  0.0000  0.0000
Si  0.4384  0.4384  0.1231
Si  0.5616  0.5616  0.8769
Br  0.7500  0.2500  0.5000
Br  0.2500  0.7500  0.5000

## Properties
Offset from the most stable computed form: 389 meV per atom
Volume: 24.84 Å³/atom
Fermi-level density of states: 4.21 states/eV per cell
E: -4.266 eV/atom
Uncorrected formation energy: 1.0616 eV/atom

---

Here is a relaxed TlTc2Rh crystal from Alexandria via LeMat-Bulk. Energies are from GGA-PBE.

Cell: 4.9173 4.9173 4.9173 Å, 133.96 127.76 72.15°
Fractional coordinates of all 4 atoms:
Rh  0.2493  0.7493  0.5000
Tc  0.9702  0.9702  0.0000
Tc  0.7718  0.2718  0.5000
Tl  0.5087  0.5087  0.0000

## Properties
Offset from the most stable computed form: 173 meV per atom
ΔE_f: 0.420 eV per atom
Volume: 16.54 Å³/atom
Fermi-level density of states: 3.41 states/eV per cell
E: -7.192 eV/atom

---

Here is a relaxed ZrTaSb2 crystal from Alexandria via LeMat-Bulk. Energies are from GGA-PBE.

Cell: 4.3711 3.2478 6.2515 Å, 79.68 90.00 90.00°
Fractional coordinates of all 4 atoms:
Sb  0.0000  0.0396  0.0052
Sb  0.0000  0.4604  0.4948
Ta  0.5000  0.2500  0.2500
Zr  0.5000  0.7500  0.7500

## Properties
Offset from the most stable computed form: 269 meV per atom
Volume: 21.83 Å³/atom
Fermi-level density of states: 2.68 states/eV per cell
E: -7.181 eV/atom
Uncorrected formation energy: -0.0193 eV/atom